*P*
HgSbP2 | PBE | optimized geometry

POSCAR file:
```
HgSbP2
1.0
6.903 0.000 0.000
0.000 6.903 0.000
0.000 0.000 6.903
Hg Sb P
4 4 8
direct
0.000 0.000 0.000
0.000 0.500 0.500
0.500 0.000 0.500
0.500 0.500 0.000
0.250 0.250 0.250
0.250 0.750 0.750
0.750 0.250 0.750
0.750 0.750 0.250
0.000 0.000 0.500
0.000 0.500 0.000
0.250 0.250 0.750
0.250 0.750 0.250
0.500 0.000 0.000
0.500 0.500 0.500
0.750 0.250 0.250
0.750 0.750 0.750
```

Results
Its space group is No. 216.

*Q*
HgSbP2 | PBE | optimized geometry

POSCAR file:
```
HgSbP2
1.0
3.165 0.000 0.000
0.000 3.165 0.000
0.000 0.000 9.592
Hg Sb P
1 1 2
direct
0.000 0.000 0.000
0.500 0.500 0.672
0.000 0.000 0.329
0.500 0.500 0.401
```

Results
Its space group is No. 99.

*R*
HgSbP2 | PBE | optimized geometry

POSCAR file:
```
HgSbP2
1.0
11.784 0.000 0.000
0.000 3.252 0.000
-0.366 0.000 5.578
Hg Sb P
2 2 4
direct
0.000 0.000 0.000
0.500 0.500 0.000
0.427 0.500 0.506
0.927 0.000 0.506
0.208 0.500 0.417
0.221 0.000 0.153
0.708 0.000 0.417
0.721 0.500 0.153
```

Results
Its space group is No. 8.

*S*
HgSbP2 | PBE | optimized geometry

POSCAR file:
```
HgSbP2
1.0
6.739 0.000 0.000
0.000 3.886 0.000
-2.283 0.000 6.518
Hg Sb P
2 2 4
direct
0.000 0.000 0.000
0.500 0.500 0.000
0.000 0.500 0.500
0.500 0.000 0.500
0.248 0.000 0.741
0.252 0.500 0.259
0.748 0.500 0.741
0.752 0.000 0.259
```

Results
Its space group is No. 12.

Relative energies with respect to the most stable structure, expressed in meV/atom: *P* 523; *Q* 6; *R* 0; *S* 94.